# Ba2Mo3O10 | the Alexandria database | PBE+U | relaxed
# VASP energy (eV/cell): -423.3
# Calculated density (g/cm³): 5.6
data_Ba2Mo3O10
_chemical_formula_sum 'Ba8 Mo12 O40'
_cell_length_a 18.790
_cell_length_b 6.253
_cell_length_c 7.893
_cell_angle_alpha 90.00
_cell_angle_beta 113.21
_cell_angle_gamma 90.00
_space_group_name_H-M_alt 'C 1 2/m 1'
_space_group_IT_number 12
loop_
_space_group_symop_operation_xyz
'x,y,z'
'-x,-y,-z'
'-x,y,-z'
'x,-y,z'
'x+1/2,y+1/2,z'
'-x+1/2,-y+1/2,-z'
'-x+1/2,y+1/2,-z'
'x+1/2,-y+1/2,z'
loop_
_atom_site_label
_atom_site_fract_x
_atom_site_fract_y
_atom_site_fract_z
_atom_site_occupancy
Ba1 0.109 0.000 0.219 1
Ba2 0.210 0.000 0.812 1
Mo1 0.000 0.241 0.500 1
Mo2 0.080 0.500 0.966 1
Mo3 0.183 0.500 0.518 1
O1 0.000 0.299 0.000 1
O2 0.023 0.000 0.679 1
O3 0.027 0.500 0.695 1
O4 0.104 0.264 0.520 1
O5 0.131 0.500 0.249 1
O6 0.142 0.274 0.976 1
O7 0.229 0.500 0.768 1
O8 0.250 0.250 0.500 1